a) KAl2W | PBE-GGA | relaxed

Total magnetic moment, μB/f.u.: 1.22
V, Å³ per cell: 318

a = 6.8238 Å, b = 6.8238 Å, c = 6.8238 Å
α = 90.00°, β = 90.00°, γ = 90.00°
Space group Fm-3m (No. 225)
One atom of each set of equivalent atoms:
K 0.0000 0.0000 0.0000 (multiplicity 4)
Al 0.2500 0.2500 0.2500 (multiplicity 8)
W 0.0000 0.0000 0.5000 (multiplicity 4)

=====

b) KAl2W | PBE-GGA | relaxed

Total magnetic moment, μB/f.u.: 0.00
V, Å³ per cell: 163

a = 2.7691 Å, b = 5.2791 Å, c = 11.1354 Å
α = 90.00°, β = 90.00°, γ = 90.00°
Space group Imm2 (No. 44)
One atom of each set of equivalent atoms:
K 0.0000 0.0000 0.0000 (multiplicity 2)
Al 0.0000 0.0000 0.5156 (multiplicity 2)
Al 0.0000 0.5000 0.7832 (multiplicity 2)
W 0.0000 0.5000 0.2153 (multiplicity 2)

=====

Which one sits at the top of the stability order? b) does.